[1]
BHI2 | PBE | relaxed

a = 4.8974 Å, b = 4.8974 Å, c = 4.8974 Å
α = 60.00°, β = 60.00°, γ = 60.00°
Positions (direct):
B 0.0000 0.0000 0.0000
H 0.5000 0.5000 0.5000
I 0.2500 0.2500 0.2500
I 0.7500 0.7500 0.7500

Relative energy among the computed polymorphs in eV per atom: 1.591
Theoretical density in g/cm3: 5.31
Total magnetic moment in μB per atom: 0.082

[2]
KCr2Co | PBE | relaxed

a = 4.3364 Å, b = 4.3364 Å, c = 7.2733 Å
α = 96.65°, β = 96.65°, γ = 38.96°
Positions (direct):
K 0.0000 0.0000 0.0000
Cr 0.5056 0.5056 0.5358
Cr 0.7858 0.7858 0.3849
Co 0.2326 0.2326 0.6343

Relative energy among the computed polymorphs in eV per atom: 0.098
Theoretical density in g/cm3: 3.93
Total magnetic moment in μB per atom: 0.396

[3]
CePmEu2 | PBE | relaxed

a = 6.0403 Å, b = 6.0403 Å, c = 4.0150 Å
α = 90.00°, β = 90.00°, γ = 90.00°
Positions (direct):
Ce 0.0000 0.0000 0.0000
Pm 0.5000 0.5000 0.0000
Eu 0.0000 0.5000 0.5000
Eu 0.5000 0.0000 0.5000

Relative energy among the computed polymorphs in eV per atom: 0.042
Theoretical density in g/cm3: 6.68
Total magnetic moment in μB per atom: 4.056

[4]
KLi4Ru | PBE | relaxed

a = 5.4881 Å, b = 5.4881 Å, c = 5.4881 Å
α = 60.00°, β = 60.00°, γ = 60.00°
Positions (direct):
K 0.0000 0.0000 0.0000
Li 0.1386 0.6205 0.6205
Li 0.6205 0.1386 0.6205
Li 0.6205 0.6205 0.1386
Li 0.6205 0.6205 0.6205
Ru 0.2500 0.2500 0.2500

Energy in eV/cell: -14.6
Theoretical density in g/cm3: 2.39
Total magnetic moment in μB per atom: 0.095

[5]
LuPuSiAu | PBE | relaxed

a = 5.0167 Å, b = 5.0167 Å, c = 5.0167 Å
α = 60.00°, β = 60.00°, γ = 60.00°
Positions (direct):
Lu 0.0000 0.0000 0.0000
Pu 0.5000 0.5000 0.5000
Si 0.2500 0.2500 0.2500
Au 0.7500 0.7500 0.7500

Energy in eV/cell: -29.5
Theoretical density in g/cm3: 11.98
Total magnetic moment in μB per atom: 1.485

[6]
PmAl2Zn4Ag | PBE | relaxed

a = 9.1894 Å, b = 9.1894 Å, c = 9.1894 Å
α = 27.54°, β = 27.54°, γ = 27.54°
Positions (direct):
Pm 0.0000 0.0000 0.0000
Al 0.2500 0.2500 0.2500
Al 0.7500 0.7500 0.7500
Zn 0.1248 0.1248 0.1248
Zn 0.3981 0.3981 0.3981
Zn 0.6019 0.6019 0.6019
Zn 0.8752 0.8752 0.8752
Ag 0.5000 0.5000 0.5000

Energy in eV/cell: -21.5
Theoretical density in g/cm3: 6.44
Total magnetic moment in μB per atom: 0.000

[7]
Nb2SnP | PBE | relaxed

a = 7.1772 Å, b = 7.1772 Å, c = 7.1772 Å
α = 29.06°, β = 29.06°, γ = 29.06°
Positions (direct):
Nb 0.2284 0.2284 0.2284
Nb 0.7716 0.7716 0.7716
Sn 0.0000 0.0000 0.0000
P 0.5000 0.5000 0.5000

Relative energy among the computed polymorphs in eV per atom: 0.000
Theoretical density in g/cm3: 7.22
Total magnetic moment in μB per atom: 0.000

[8]
La2ScP | PBE | relaxed

a = 3.6102 Å, b = 3.6102 Å, c = 8.1558 Å
α = 90.00°, β = 90.00°, γ = 90.00°
Positions (direct):
La 0.0000 0.0000 0.0000
La 0.5000 0.5000 0.3558
Sc 0.5000 0.5000 0.7163
P 0.0000 0.0000 0.6015

Energy in eV/cell: -24.0
Theoretical density in g/cm3: 5.53
Total magnetic moment in μB per atom: 0.002